#a
Sr2NdUO6, optimized geometry, DFT PBE; space-group type = No. 225; total magnetization = 0.100 μB per atom
1.0
0.000 4.441 4.441
4.441 0.000 4.441
4.441 4.441 0.000
Sr Nd U O
2 1 1 6
Direct
0.250 0.250 0.250
0.750 0.750 0.750
0.000 0.000 0.000
0.500 0.500 0.500
0.259 0.259 0.741
0.259 0.741 0.259
0.259 0.741 0.741
0.741 0.259 0.259
0.741 0.259 0.741
0.741 0.741 0.259

***

#b
Sr2NdUO6, optimized geometry, DFT PBE; space-group type = No. 14; total magnetization = 0.100 μB per atom
1.0
6.054 0.000 0.000
0.000 6.225 0.000
-6.040 0.000 8.671
Sr Nd U O
4 2 2 12
Direct
0.239 0.046 0.252
0.239 0.454 0.752
0.761 0.546 0.248
0.761 0.954 0.748
0.500 0.000 0.000
0.500 0.500 0.500
0.000 0.000 0.500
0.000 0.500 0.000
0.124 0.214 0.937
0.124 0.286 0.437
0.233 0.689 0.946
0.233 0.811 0.446
0.346 0.047 0.737
0.346 0.453 0.237
0.654 0.547 0.763
0.654 0.953 0.263
0.767 0.189 0.554
0.767 0.311 0.054
0.876 0.714 0.563
0.876 0.786 0.063

***

#b has the most favorable energy; the next structure is 0.177 eV/atom above.

***

#a
NdTa2O6, optimized geometry, DFT PBE; space-group type = No. 123; total magnetization = 0.000 μB per atom
1.0
3.987 0.000 0.000
0.000 3.987 0.000
0.000 0.000 7.971
Nd Ta O
1 2 6
Direct
0.000 0.000 0.000
0.500 0.500 0.258
0.500 0.500 0.742
0.000 0.500 0.218
0.000 0.500 0.782
0.500 0.000 0.218
0.500 0.000 0.782
0.500 0.500 0.000
0.500 0.500 0.500

***

#b
NdTa2O6, optimized geometry, DFT PBE; space-group type = No. 12; total magnetization = 0.113 μB per atom
1.0
5.819 -1.940 0.000
5.819 1.940 0.000
-1.341 0.000 7.383
Nd Ta O
1 2 6
Direct
0.000 0.000 0.000
0.256 0.256 0.683
0.744 0.744 0.317
0.127 0.127 0.789
0.231 0.231 0.397
0.398 0.398 0.855
0.602 0.602 0.145
0.769 0.769 0.603
0.873 0.873 0.211

***

#a has the most favorable energy; the next structure is 0.139 eV/atom above.